The following is a PBE calculation of HoH4Rh after structural relaxation, from Alexandria.

Unit cell a=4.401 b=4.401 c=3.758 alpha=114.76 beta=114.76 gamma=62.39
Sites, in units of the cell vectors:
1 Ho 0.000 0.000 0.000
2 H 0.060 0.593 0.326
3 H 0.407 0.940 0.674
4 H 0.593 0.060 0.326
5 H 0.940 0.407 0.674
6 Rh 0.500 0.500 0.500

Values from the calculation:
SG	C2/m (12)
uncorrected energy	-28.14	eV per cell
magnetic moment	0.000	μB per atom



The following is a PBE calculation of Cs2PmCdBr6 after structural relaxation, from Alexandria.

Unit cell a=8.368 b=11.808 c=8.366 alpha=90.00 beta=90.00 gamma=90.00
Sites, in units of the cell vectors:
1 Cs 0.250 0.000 0.250
2 Cs 0.250 0.500 0.250
3 Cs 0.750 0.000 0.750
4 Cs 0.750 0.500 0.750
5 Pm 0.250 0.250 0.749
6 Pm 0.750 0.750 0.251
7 Cd 0.250 0.750 0.751
8 Cd 0.750 0.250 0.249
9 Br 0.007 0.250 0.506
10 Br 0.007 0.250 0.992
11 Br 0.250 0.007 0.749
12 Br 0.250 0.493 0.749
13 Br 0.493 0.250 0.506
14 Br 0.493 0.250 0.992
15 Br 0.507 0.750 0.008
16 Br 0.507 0.750 0.494
17 Br 0.750 0.507 0.251
18 Br 0.750 0.993 0.251
19 Br 0.993 0.750 0.008
20 Br 0.993 0.750 0.494

Values from the calculation:
ΔE_f (raw)	-1.536	eV/atom
D(E_F)	8.09	states/eV per cell
SG	Pmmn (59)
magnetic moment	0.000	μB per atom



The following is a PBE calculation of Rb2FePdCl6 after structural relaxation, from Alexandria.

Unit cell a=6.901 b=6.901 c=6.901 alpha=115.73 beta=115.73 gamma=97.58
Sites, in units of the cell vectors:
1 Rb 0.250 0.750 0.500
2 Rb 0.750 0.250 0.500
3 Fe 0.000 0.000 0.000
4 Pd 0.500 0.500 0.000
5 Cl 0.240 0.240 0.480
6 Cl 0.240 0.760 0.000
7 Cl 0.245 0.245 0.000
8 Cl 0.755 0.755 0.000
9 Cl 0.760 0.240 0.000
10 Cl 0.760 0.760 0.520

Values from the calculation:
ΔE_f (raw)	-1.097	eV/atom
D(E_F)	5.82	states/eV per cell
SG	I4/mmm (139)
magnetic moment	0.353	μB per atom
ΔE to the lowest computed polymorph	34	kJ/mol of formula units



The following is a PBE calculation of Tl8Se4Cl after structural relaxation, from Alexandria.

Unit cell a=9.139 b=9.139 c=9.139 alpha=60.00 beta=60.00 gamma=60.00
Sites, in units of the cell vectors:
1 Tl 0.097 0.634 0.634
2 Tl 0.112 0.112 0.112
3 Tl 0.112 0.112 0.664
4 Tl 0.112 0.664 0.112
5 Tl 0.634 0.097 0.634
6 Tl 0.634 0.634 0.097
7 Tl 0.634 0.634 0.634
8 Tl 0.664 0.112 0.112
9 Se 0.389 0.870 0.870
10 Se 0.870 0.389 0.870
11 Se 0.870 0.870 0.389
12 Se 0.870 0.870 0.870
13 Cl 0.250 0.250 0.250

Values from the calculation:
ΔE_f (raw)	-0.395	eV/atom
D(E_F)	9.32	states/eV per cell
SG	F-43m (216)
magnetic moment	0.000	μB per atom
ΔE to the lowest computed polymorph	19	kJ/mol of formula units



The following is a PBE calculation of Hf8Ir2Rh after structural relaxation, from Alexandria.

Unit cell a=8.690 b=8.690 c=6.106 alpha=107.93 beta=107.93 gamma=30.91
Sites, in units of the cell vectors:
1 Hf 0.020 0.020 0.264
2 Hf 0.204 0.204 0.838
3 Hf 0.329 0.329 0.501
4 Hf 0.408 0.408 0.024
5 Hf 0.592 0.592 0.976
6 Hf 0.671 0.671 0.499
7 Hf 0.796 0.796 0.162
8 Hf 0.980 0.980 0.736
9 Ir 0.168 0.168 0.232
10 Ir 0.832 0.832 0.768
11 Rh 0.500 0.500 0.500

Values from the calculation:
D(E_F)	9.36	states/eV per cell
SG	C2/m (12)
magnetic moment	0.000	μB per atom
energy relative to the elements	-472.3	meV/atom



The following is a PBE calculation of MgCo4Re after structural relaxation, from Alexandria.

Unit cell a=4.673 b=4.673 c=4.673 alpha=60.00 beta=60.00 gamma=60.00
Sites, in units of the cell vectors:
1 Mg 0.000 0.000 0.000
2 Co 0.374 0.374 0.374
3 Co 0.374 0.374 0.877
4 Co 0.374 0.877 0.374
5 Co 0.877 0.374 0.374
6 Re 0.750 0.750 0.750

Values from the calculation:
D(E_F)	8.89	states/eV per cell
SG	F-43m (216)
magnetic moment	0.000	μB per atom
energy relative to the elements	149.8	meV/atom



Question: What is the magnetic moment in the third record?
Answer: 0.353 μB per atom